The following is a PBE+U calculation of MnAgHgF5 after structural relaxation, from Alexandria via LeMat-Bulk.

Results
As for the total magnetization: 5.00 μB per formula unit. As for the total energy: -4.236 eV per atom.

Unit cell a=6.488 b=10.318 c=8.003 alpha=90.00 beta=104.54 gamma=90.00
Space group C2/c (No. 15)
Unique sites:
Mn 0.000 0.000 0.000
Ag 0.000 0.294 0.250
Hg 0.000 0.353 0.750
F 0.000 0.065 0.250
F 0.017 0.204 0.956
F 0.166 0.480 0.410